1.
# CaB3H5O8 | Alexandria via LeMat-Bulk | PBE-GGA | relaxed
data_CaB3H5O8
_chemical_formula_sum 'Ca4 B12 H20 O32'
_cell_length_a 6.154
_cell_length_b 11.290
_cell_length_c 8.793
_cell_angle_alpha 90.00
_cell_angle_beta 110.12
_cell_angle_gamma 90.00
_symmetry_space_group_name_H-M 'P 1 21 1'
_symmetry_Int_Tables_number 4
_symmetry_space_group_name_Hall 'P 2yb'
loop_
_atom_site_label
_atom_site_fract_x
_atom_site_fract_y
_atom_site_fract_z
Ca1 0.144 0.000 0.382
Ca2 0.351 0.415 0.113
B1 0.028 0.651 0.028
B2 0.120 0.035 0.783
B3 0.233 0.415 0.418
B4 0.261 0.986 0.075
B5 0.381 0.373 0.715
B6 0.469 0.756 0.473
H1 0.007 0.270 0.154
H2 0.072 0.728 0.547
H3 0.128 0.733 0.325
H4 0.195 0.283 0.831
H5 0.199 0.702 0.727
H6 0.302 0.127 0.666
H7 0.372 0.681 0.174
H8 0.388 0.599 0.563
H9 0.410 0.682 0.954
H10 0.451 0.170 0.174
O1 0.043 0.265 0.054
O2 0.044 0.691 0.641
O3 0.054 0.150 0.834
O4 0.071 0.049 0.085
O5 0.088 0.459 0.273
O6 0.213 0.437 0.567
O7 0.216 0.783 0.419
O8 0.230 0.048 0.661
O9 0.264 0.363 0.833
O10 0.285 0.631 0.079
O11 0.295 0.975 0.930
O12 0.408 0.947 0.223
O13 0.418 0.350 0.406
O14 0.442 0.258 0.663
O15 0.451 0.722 0.864
O16 0.478 0.138 0.450
# spin magnetization: 0.00 μB per formula unit
# ΔE to the lowest computed polymorph: 0.000 eV/atom

***

2.
# Y5Mn4 | Alexandria via LeMat-Bulk | PBE-GGA | relaxed
data_Y5Mn4
_chemical_formula_sum 'Y10 Mn8'
_cell_length_a 8.7924
_cell_length_b 8.7924
_cell_length_c 6.4107
_cell_angle_alpha 90.00
_cell_angle_beta 90.00
_cell_angle_gamma 120.00
_symmetry_space_group_name_H-M 'P 63/m c m'
_symmetry_Int_Tables_number 193
_symmetry_space_group_name_Hall '-P 6c 2'
loop_
_atom_site_label
_atom_site_fract_x
_atom_site_fract_y
_atom_site_fract_z
Y1 0.0000 0.2851 0.2500
Y2 0.3333 0.6667 0.0000
Mn1 0.0000 0.0000 0.0000
Mn2 0.0000 0.3685 0.7500
# formation energy: 0.2352 eV/atom
# spin magnetization: 11.40 μB per formula unit
# ΔE to the lowest computed polymorph: 0.000 eV/atom

***

no.,ρ (g/cm³)
1,2.38
2,5.14